Record 1
VASP calculation (GGA-PBE) on an optimized crystal structure of ScCu2Pb2.

Summary:
V	21.6	Å³ per atom
E_form	0.7	eV/f.u.
crystal system	tetragonal
total moment	0.00	μB per formula unit
electronic total energy	-21.21	eV/cell
relative energy among the computed polymorphs	0.138	eV/atom
mass density	9.00	g/cm3

Cell: 4.1078 4.1078 7.0420 Å, 73.04 73.04 90.00°
Fractional positions:
Pb 0.3849 0.3849 0.2302
Pb 0.6151 0.6151 0.7698
Sc 0.0000 0.0000 0.0000
Cu 0.7500 0.2500 0.5000
Cu 0.2500 0.7500 0.5000

Record 2
VASP calculation (GGA-PBE) on an optimized crystal structure of LiBe2Pd2.

Summary:
V	11.9	Å³ per atom
E_form	-2.6	eV/f.u.
crystal system	tetragonal
total moment	0.00	μB per formula unit
electronic total energy	-44.67	eV/cell
relative energy among the computed polymorphs	0.000	eV/atom
mass density	6.62	g/cm3

Cell: 6.5330 6.5330 2.7938 Å, 90.00 90.00 90.00°
Fractional positions:
Be 0.3763 0.8763 0.0000
Be 0.8763 0.6237 0.0000
Be 0.6237 0.1237 0.0000
Be 0.1237 0.3763 0.0000
Pd 0.1694 0.6694 0.5000
Pd 0.6694 0.8306 0.5000
Pd 0.8306 0.3306 0.5000
Pd 0.3306 0.1694 0.5000
Li 0.0000 0.0000 0.0000
Li 0.5000 0.5000 0.0000

Record 3
VASP calculation (GGA-PBE) on an optimized crystal structure of SrB2Sb.

Summary:
V	22.0	Å³ per atom
crystal system	tetragonal
total moment	0.00	μB per formula unit
electronic total energy	-31.57	eV/cell
energy relative to the elements, uncorrected	3.37	eV per formula unit
mass density	4.37	g/cm3

Cell: 4.9902 4.9902 7.8903 Å, 71.57 71.57 90.00°
Fractional positions:
Sb 0.0000 0.0000 0.0000
Sb 0.7500 0.2500 0.5000
B 0.7586 0.1250 0.2500
B 0.9914 0.6250 0.2500
B 0.3750 0.2414 0.7500
B 0.8750 0.0086 0.7500
Sr 0.5000 0.5000 0.0000
Sr 0.2500 0.7500 0.5000

Record 4
VASP calculation (GGA-PBE) on an optimized crystal structure of BeRuF2.

Summary:
V	15.3	Å³ per atom
crystal system	trigonal
total moment	2.08	μB per formula unit
electronic total energy	-20.96	eV/cell
energy relative to the elements, uncorrected	-4.22	eV per formula unit
relative energy among the computed polymorphs	0.594	eV/atom
mass density	4.02	g/cm3

Cell: 9.4184 9.4184 9.4184 Å, 16.84 16.84 16.84°
Last column: magnetic moment on the atom in μB.
Fractional positions:
Ru 0.5000 0.5000 0.5000  1.89
Be 0.0000 0.0000 0.0000  -0.01
F 0.9506 0.9506 0.9506  0.00
F 0.0494 0.0494 0.0494  0.00

Record 5
VASP calculation (GGA-PBE) on an optimized crystal structure of La2Ge3SbIr4.

Summary:
V	19.8	Å³ per atom
crystal system	tetragonal
total moment	0.00	μB per formula unit
electronic total energy	-70.87	eV/cell
energy relative to the elements, uncorrected	-7.60	eV per formula unit
mass density	11.63	g/cm3

Cell: 4.3552 4.3552 10.4345 Å, 90.00 90.00 90.00°
Fractional positions:
La 0.5000 0.0000 0.2476
La 0.0000 0.5000 0.7524
Ge 0.0000 0.0000 0.5000
Ge 0.5000 0.0000 0.8734
Ge 0.0000 0.5000 0.1266
Sb 0.5000 0.5000 0.5000
Ir 0.5000 0.5000 0.0000
Ir 0.0000 0.0000 0.0000
Ir 0.5000 0.0000 0.6363
Ir 0.0000 0.5000 0.3637

Record 6
VASP calculation (GGA-PBE) on an optimized crystal structure of Th2H2SeS2.

Summary:
V	21.7	Å³ per atom
crystal system	trigonal
total moment	0.00	μB per formula unit
electronic total energy	-43.45	eV/cell
mass density	6.65	g/cm3

Cell: 4.0342 4.0342 11.0418 Å, 79.47 79.47 60.00°
Fractional positions:
Th 0.7322 0.7322 0.8035
Th 0.2678 0.2678 0.1965
H 0.6074 0.6074 0.1778
H 0.3926 0.3926 0.8222
Se 0.0000 0.0000 0.0000
S 0.1122 0.1122 0.6634
S 0.8878 0.8878 0.3366

Record 7
VASP calculation (GGA-PBE) on an optimized crystal structure of K2SbTe4Pb.

Summary:
V	37.2	Å³ per atom
crystal system	orthorhombic
total moment	0.00	μB per formula unit
electronic total energy	-53.05	eV/cell
energy relative to the elements, uncorrected	-3.93	eV per formula unit
mass density	5.12	g/cm3

Cell: 9.4434 9.4434 9.5434 Å, 120.35 120.35 90.12°
Fractional positions:
K 0.5000 0.0000 0.0000
K 0.5000 0.0000 0.5000
K 0.0000 0.0000 0.5000
K 0.5000 0.5000 0.0000
Sb 0.5000 0.5000 0.5000
Sb 0.0000 0.0000 0.0000
Te 0.2167 0.7518 0.9842
Te 0.7482 0.2833 0.5158
Te 0.2518 0.7167 0.4842
Te 0.7833 0.2482 0.0158
Te 0.7567 0.7433 0.9683
Te 0.7567 0.7433 0.5317
Te 0.2433 0.2567 0.4683
Te 0.2433 0.2567 0.0317
Pb 0.0000 0.5000 0.0000
Pb 0.0000 0.5000 0.5000

Record 8
VASP calculation (GGA-PBE) on an optimized crystal structure of Tb2HoPd.

Summary:
V	27.0	Å³ per atom
E_form	-1.6	eV/f.u.
crystal system	tetragonal
total moment	0.00	μB per formula unit
electronic total energy	-20.61	eV/cell
relative energy among the computed polymorphs	0.074	eV/atom
mass density	9.04	g/cm3

Cell: 3.5928 3.5928 8.3806 Å, 90.00 90.00 90.00°
Fractional positions:
Tb 0.0000 0.0000 0.7995
Tb 0.0000 0.0000 0.2005
Ho 0.5000 0.5000 0.5000
Pd 0.5000 0.5000 0.0000

Record 9
VASP calculation (GGA-PBE) on an optimized crystal structure of NdB6.

Summary:
V	10.1	Å³ per atom
E_form	-3.3	eV/f.u.
crystal system	cubic
total moment	0.00	μB per formula unit
electronic total energy	-48.13	eV/cell
mass density	4.91	g/cm3

Cell: 4.1357 4.1357 4.1357 Å, 90.00 90.00 90.00°
Fractional positions:
Nd 0.0000 0.0000 0.0000
B 0.8002 0.5000 0.5000
B 0.1998 0.5000 0.5000
B 0.5000 0.5000 0.8002
B 0.5000 0.5000 0.1998
B 0.5000 0.1998 0.5000
B 0.5000 0.8002 0.5000

Record 10
VASP calculation (GGA-PBE) on an optimized crystal structure of PuScBi2.

Summary:
V	27.2	Å³ per atom
E_form	-1.6	eV/f.u.
crystal system	tetragonal
total moment	6.25	μB per formula unit
electronic total energy	-30.00	eV/cell
relative energy among the computed polymorphs	0.100	eV/atom
mass density	10.77	g/cm3

Cell: 3.6234 3.6234 8.3010 Å, 90.00 90.00 90.00°
Last column: magnetic moment on the atom in μB.
Fractional positions:
Sc 0.5000 0.5000 0.0000  0.15
Bi 0.0000 0.0000 0.7681  -0.05
Bi 0.0000 0.0000 0.2319  -0.05
Pu 0.5000 0.5000 0.5000  5.64

Record 11
VASP calculation (GGA-PBE) on an optimized crystal structure of BaTl5Pd.

Summary:
V	29.5	Å³ per atom
E_form	-1.6	eV/f.u.
crystal system	tetragonal
total moment	0.00	μB per formula unit
electronic total energy	-20.57	eV/cell
mass density	10.18	g/cm3

Cell: 5.0101 5.0101 8.2263 Å, 90.00 90.00 90.00°
Fractional positions:
Ba 0.0000 0.0000 0.0000
Tl 0.5000 0.0000 0.6903
Tl 0.0000 0.5000 0.6903
Tl 0.5000 0.5000 0.0000
Tl 0.0000 0.5000 0.3097
Tl 0.5000 0.0000 0.3097
Pd 0.0000 0.0000 0.5000

Record 12
VASP calculation (GGA-PBE) on an optimized crystal structure of Li2ZnCr.

Summary:
V	15.8	Å³ per atom
E_form	0.9	eV/f.u.
crystal system	monoclinic
total moment	4.11	μB per formula unit
electronic total energy	-13.80	eV/cell
relative energy among the computed polymorphs	0.040	eV/atom
mass density	3.45	g/cm3

Cell: 5.0039 5.0039 4.6419 Å, 69.92 69.92 35.70°
Last column: magnetic moment on the atom in μB.
Fractional positions:
Cr 0.2417 0.2417 0.2917  3.69
Li 0.0063 0.0063 0.9672  -0.01
Li 0.7567 0.7567 0.7734  0.01
Zn 0.4954 0.4954 0.4677  -0.03